PuFeO4 | PBE with a Hubbard U | optimized geometry

Cell lengths 5.7828, 4.9557, 5.9539 Å; angles 90.00, 114.14, 90.00 degrees
Last column: nearest neighbours and their distance in Å.
Element x y z (fractional)
Pu: 0.0000 0.0000 0.0000  6 O 2.09-2.19
Pu: 0.0000 0.5000 0.5000  6 O 2.09-2.19
Fe: 0.5000 0.0000 0.5000  6 O 1.98-2.13
Fe: 0.5000 0.5000 0.0000  6 O 1.98-2.13
O: 0.1650 0.1793 0.3583  1 Fe 1.98, 2 Pu 2.14-2.19
O: 0.1650 0.3207 0.8583  1 Fe 1.98, 2 Pu 2.14-2.19
O: 0.3484 0.6974 0.6559  1 Pu 2.09, 2 Fe 2.11-2.13
O: 0.3484 0.8026 0.1559  1 Pu 2.09, 2 Fe 2.11-2.13
O: 0.6516 0.1974 0.8441  1 Pu 2.09, 2 Fe 2.11-2.13
O: 0.6516 0.3026 0.3441  1 Pu 2.09, 2 Fe 2.11-2.13
O: 0.8350 0.6793 0.1417  1 Fe 1.98, 2 Pu 2.14-2.19
O: 0.8350 0.8207 0.6417  1 Fe 1.98, 2 Pu 2.14-2.19

Calculated values
The calculation puts the total energy at -8.811 eV per atom.